Record 1
# Nd2InGe | Alexandria | PBE | optimized geometry
data_Nd2InGe
_chemical_formula_sum 'Nd2 In1 Ge1'
_symmetry_space_group_name_H-M 'P 1'
_symmetry_Int_Tables_number 1
_symmetry_space_group_name_Hall 'P 1'
_cell_length_a 4.2978
_cell_length_b 4.2978
_cell_length_c 8.1574
_cell_angle_alpha 74.73
_cell_angle_beta 74.73
_cell_angle_gamma 60.00
loop_
_atom_site_label
_atom_site_type_symbol
_atom_site_fract_x
_atom_site_fract_y
_atom_site_fract_z
In1 In 0.5000 0.5000 0.5000
Ge1 Ge 0.0000 0.0000 0.0000
Nd1 Nd 0.7367 0.7367 0.7900
Nd2 Nd 0.2633 0.2633 0.2100
# **DFT formation energy**: -0.498 eV/atom
# **Crystal system**: trigonal
# **Space group**: R-3m (166)
# **ρ**: 6.36 g/cm³

---

Record 2
# LaDyIrI | Alexandria | PBE | optimized geometry
data_LaDyIrI
_chemical_formula_sum 'La1 Dy1 Ir1 I1'
_symmetry_space_group_name_H-M 'P 1'
_symmetry_Int_Tables_number 1
_symmetry_space_group_name_Hall 'P 1'
_cell_length_a 4.1751
_cell_length_b 4.1752
_cell_length_c 8.4716
_cell_angle_alpha 90.00
_cell_angle_beta 104.27
_cell_angle_gamma 120.00
loop_
_atom_site_label
_atom_site_type_symbol
_atom_site_fract_x
_atom_site_fract_y
_atom_site_fract_z
La1 La 0.5165 0.1562 0.6880
Dy1 Dy 0.0914 0.9436 0.0504
Ir1 Ir 0.3091 0.5525 0.8770
I1 I 0.9608 0.3785 0.3542
# **Formation energy (no corrections)**: -1.024 eV per atom
# **Crystal system**: trigonal
# **Space group**: R3m (160)
# **ρ**: 8.40 g/cm³

---

Number 1: total magnetization 0.0 μB per cell. Number 2: total magnetization 0.0 μB per cell.